VASP calculation (meta-GGA SCAN) on a PBEsol-optimized structure of FeHg2Os.

The structure in POSCAR format:
```
FeHg2Os
1.0
0.000 3.204 3.204
3.204 0.000 3.204
3.204 3.204 0.000
Fe Hg Os
1 2 1
Direct
0.000 0.000 0.000 Fe
0.500 0.500 0.500 Hg
0.750 0.750 0.750 Hg
0.250 0.250 0.250 Os
```

Output
ΔE_f ... 0.851 eV/atom
Crystal system ... cubic
Mass density ... 16.3 g/cm³
D(E_F) ... 0.695 states/eV/atom
Symmetry ... F-43m (216)
Electronic total energy ... -55.734 eV per atom
Excess energy over the best structure of this formula in the dataset ... 0.133 eV/atom
Magnetization ... 4.30 μB per cell

***

VASP calculation (meta-GGA SCAN) on a PBEsol-optimized structure of Fe2HgOs.

The structure in POSCAR format:
```
Fe2HgOs
1.0
2.742 0.000 0.000
0.000 3.630 0.000
0.000 0.000 5.574
Fe Hg Os
2 1 1
Direct
0.000 0.000 0.207 Fe
0.000 0.000 0.793 Fe
0.500 0.500 0.500 Hg
0.500 0.500 0.000 Os
```

Output
ΔE_f ... 0.355 eV/atom
Crystal system ... orthorhombic
Mass density ... 15.0 g/cm³
D(E_F) ... 0.718 states/eV/atom
Symmetry ... Pmmm (47)
Electronic total energy ... -43.721 eV per atom
Magnetization ... 5.58 μB per cell

***

VASP calculation (meta-GGA SCAN) on a PBEsol-optimized structure of FeHg2Os.

The structure in POSCAR format:
```
FeHg2Os
1.0
1.438 0.830 9.069
-1.438 0.830 9.069
0.000 -1.661 9.069
Fe Hg Os
1 2 1
Direct
0.000 0.000 0.000 Fe
0.253 0.253 0.253 Hg
0.747 0.747 0.747 Hg
0.500 0.500 0.500 Os
```

Output
ΔE_f ... 0.718 eV/atom
Crystal system ... trigonal
Mass density ... 16.5 g/cm³
D(E_F) ... 0.782 states/eV/atom
Symmetry ... R-3m (166)
Electronic total energy ... -55.867 eV per atom
Excess energy over the best structure of this formula in the dataset ... 0.000 eV/atom
Magnetization ... 2.08 μB per cell

***

VASP calculation (meta-GGA SCAN) on a PBEsol-optimized structure of Fe2HgOs.

The structure in POSCAR format:
```
Fe2HgOs
1.0
1.367 0.789 8.693
-1.367 0.789 8.693
0.000 -1.578 8.693
Fe Hg Os
2 1 1
Direct
0.244 0.244 0.244 Fe
0.756 0.756 0.756 Fe
0.000 0.000 0.000 Hg
0.500 0.500 0.500 Os
```

Output
ΔE_f ... 0.394 eV/atom
Crystal system ... trigonal
Mass density ... 14.8 g/cm³
D(E_F) ... 0.809 states/eV/atom
Symmetry ... R-3m (166)
Electronic total energy ... -43.683 eV per atom
Magnetization ... 5.54 μB per cell

***

VASP calculation (meta-GGA SCAN) on a PBEsol-optimized structure of FeHg2Os.

The structure in POSCAR format:
```
FeHg2Os
1.0
-1.994 1.994 4.118
1.994 -1.994 4.118
1.994 1.994 -4.118
Fe Hg Os
1 2 1
Direct
0.000 0.000 0.000 Fe
0.250 0.750 0.500 Hg
0.750 0.250 0.500 Hg
0.500 0.500 0.000 Os
```

Output
ΔE_f ... 0.722 eV/atom
Crystal system ... tetragonal
Mass density ... 16.4 g/cm³
D(E_F) ... 0.466 states/eV/atom
Symmetry ... I4/mmm (139)
Electronic total energy ... -55.863 eV per atom
Excess energy over the best structure of this formula in the dataset ... 0.004 eV/atom
Magnetization ... 4.31 μB per cell

***

VASP calculation (meta-GGA SCAN) on a PBEsol-optimized structure of FeHg2Os.

The structure in POSCAR format:
```
FeHg2Os
1.0
0.000 3.191 3.191
3.191 0.000 3.191
3.191 3.191 0.000
Fe Hg Os
1 2 1
Direct
0.000 0.000 0.000 Fe
0.250 0.250 0.250 Hg
0.750 0.750 0.750 Hg
0.500 0.500 0.500 Os
```

Output
ΔE_f ... 0.859 eV/atom
Crystal system ... cubic
Mass density ... 16.5 g/cm³
D(E_F) ... 0.816 states/eV/atom
Symmetry ... Fm-3m (225)
Electronic total energy ... -55.726 eV per atom
Excess energy over the best structure of this formula in the dataset ... 0.141 eV/atom
Magnetization ... 3.57 μB per cell

***

VASP calculation (meta-GGA SCAN) on a PBEsol-optimized structure of Fe2HgOs.

The structure in POSCAR format:
```
Fe2HgOs
1.0
2.750 -3.748 0.000
2.750 3.748 0.000
0.000 0.000 2.697
Fe Hg Os
2 1 1
Direct
0.000 0.500 0.000 Fe
0.500 0.000 0.000 Fe
0.000 0.000 0.500 Hg
0.500 0.500 0.500 Os
```

Output
ΔE_f ... 0.375 eV/atom
Crystal system ... orthorhombic
Mass density ... 15.0 g/cm³
D(E_F) ... 0.590 states/eV/atom
Symmetry ... Cmmm (65)
Electronic total energy ... -43.701 eV per atom
Magnetization ... 5.81 μB per cell

***

VASP calculation (meta-GGA SCAN) on a PBEsol-optimized structure of FeHgP.

The structure in POSCAR format:
```
FeHgP
1.0
0.000 2.910 2.910
2.910 0.000 2.910
2.910 2.910 0.000
Fe Hg P
1 1 1
Direct
0.000 0.000 0.000 Fe
0.250 0.250 0.250 Hg
0.750 0.750 0.750 P
```

Output
ΔE_f ... 0.425 eV/atom
Crystal system ... cubic
Mass density ... 9.7 g/cm³
D(E_F) ... 0.659 states/eV/atom
Symmetry ... F-43m (216)
Electronic total energy ... -31.806 eV per atom
Excess energy over the best structure of this formula in the dataset ... 0.000 eV/atom
Magnetization ... 2.55 μB per cell

***

VASP calculation (meta-GGA SCAN) on a PBEsol-optimized structure of FeHg2P.

The structure in POSCAR format:
```
FeHg2P
1.0
3.980 0.000 0.000
0.000 3.980 0.000
0.000 0.000 4.403
Fe Hg P
1 2 1
Direct
0.000 0.000 0.000 Fe
0.000 0.500 0.500 Hg
0.500 0.000 0.500 Hg
0.500 0.500 0.000 P
```

Output
ΔE_f ... 0.606 eV/atom
Crystal system ... tetragonal
Mass density ... 11.6 g/cm³
D(E_F) ... 0.474 states/eV/atom
Symmetry ... P4/mmm (123)
Electronic total energy ... -40.609 eV per atom
Magnetization ... 3.19 μB per cell

***

VASP calculation (meta-GGA SCAN) on a PBEsol-optimized structure of FeHgP2.

The structure in POSCAR format:
```
FeHgP2
1.0
2.780 0.000 0.000
0.000 2.780 0.000
0.000 0.000 8.298
Fe Hg P
1 1 2
Direct
0.000 0.000 0.000 Fe
0.000 0.000 0.500 Hg
0.500 0.500 0.159 P
0.500 0.500 0.841 P
```

Output
ΔE_f ... 0.095 eV/atom
Crystal system ... tetragonal
Mass density ... 8.2 g/cm³
D(E_F) ... 0.290 states/eV/atom
Symmetry ... P4/mmm (123)
Electronic total energy ... -26.679 eV per atom
Magnetization ... 1.02 μB per cell

***

VASP calculation (meta-GGA SCAN) on a PBEsol-optimized structure of FeHgP2.

The structure in POSCAR format:
```
FeHgP2
1.0
3.289 -1.392 0.000
3.289 1.392 0.000
-2.697 0.000 7.287
Fe Hg P
1 1 2
Direct
0.000 0.000 0.000 Fe
0.500 0.500 0.500 Hg
0.359 0.359 0.154 P
0.641 0.641 0.846 P
```

Output
ΔE_f ... -0.042 eV/atom
Crystal system ... monoclinic
Mass density ... 7.9 g/cm³
D(E_F) ... 0.228 states/eV/atom
Symmetry ... C2/m (12)
Electronic total energy ... -26.816 eV per atom
Magnetization ... 0.00 μB per cell

***

VASP calculation (meta-GGA SCAN) on a PBEsol-optimized structure of FeHg2P.

The structure in POSCAR format:
```
FeHg2P
1.0
-1.361 1.793 7.038
1.361 -1.793 7.038
1.361 1.793 -7.038
Fe Hg P
1 2 1
Direct
0.000 0.000 0.000 Fe
0.176 0.676 0.500 Hg
0.824 0.324 0.500 Hg
0.500 0.500 0.000 P
```

Output
ΔE_f ... 0.191 eV/atom
Crystal system ... orthorhombic
Mass density ... 11.8 g/cm³
D(E_F) ... 0.485 states/eV/atom
Symmetry ... Immm (71)
Electronic total energy ... -41.024 eV per atom
Magnetization ... 1.80 μB per cell